# CsZnIn2Cl5, relaxed, DFT PBE
# **Uncorrected energy**: -0.1134 hartree per atom
# **Energy relative to the elements, uncorrected**: -1216.2 meV per atom
data_CsZnIn2Cl5
_chemical_formula_sum 'Cs4 Zn4 In8 Cl20'
_cell_length_a 8.738
_cell_length_b 8.738
_cell_length_c 14.725
_cell_angle_alpha 90.00
_cell_angle_beta 90.00
_cell_angle_gamma 90.00
_symmetry_space_group_name_H-M 'I 4/m c m'
_symmetry_Int_Tables_number 140
_symmetry_space_group_name_Hall '-I 4 2c'
loop_
_atom_site_label
_atom_site_type_symbol
_atom_site_fract_x
_atom_site_fract_y
_atom_site_fract_z
_atom_site_occupancy
Cs1 Cs 0.000 0.000 0.250 1
Zn1 Zn 0.000 0.500 0.250 1
In1 In 0.173 0.327 0.000 1
Cl1 Cl 0.000 0.000 0.000 1
Cl2 Cl 0.145 0.355 0.348 1

# Cs2ZrInCl6, relaxed, DFT PBE
# **Uncorrected energy**: -0.1490 hartree per atom
# **Energy relative to the elements, uncorrected**: -1647.4 meV per atom
data_Cs2ZrInCl6
_chemical_formula_sum 'Cs12 Zr6 In6 Cl36'
_cell_length_a 7.7263
_cell_length_b 7.7263
_cell_length_c 43.4106
_cell_angle_alpha 90.00
_cell_angle_beta 90.00
_cell_angle_gamma 120.00
_symmetry_space_group_name_H-M 'R -3 m'
_symmetry_Int_Tables_number 166
_symmetry_space_group_name_Hall '-R 3 2"'
loop_
_atom_site_label
_atom_site_type_symbol
_atom_site_fract_x
_atom_site_fract_y
_atom_site_fract_z
_atom_site_occupancy
Cs1 Cs 0.0000 0.0000 0.1346 1
Cs2 Cs 0.0000 0.0000 0.3036 1
Zr1 Zr 0.0000 0.0000 0.0000 1
Zr2 Zr 0.0000 0.0000 0.5000 1
In1 In 0.0000 0.0000 0.4176 1
Cl1 Cl 0.0082 0.5041 0.1343 1
Cl2 Cl 0.0218 0.5109 0.7007 1

# CsZrIn2Cl8, relaxed, DFT PBE
# **Uncorrected energy**: -0.1451 hartree per atom
# **Energy relative to the elements, uncorrected**: -1477.2 meV per atom
data_CsZrIn2Cl8
_chemical_formula_sum 'Cs1 Zr1 In2 Cl8'
_cell_length_a 7.191
_cell_length_b 7.191
_cell_length_c 8.208
_cell_angle_alpha 98.47
_cell_angle_beta 90.81
_cell_angle_gamma 92.99
_symmetry_space_group_name_H-M 'P -1'
_symmetry_Int_Tables_number 2
loop_
_symmetry_equiv_pos_as_xyz
'x,y,z'
'-x,-y,-z'
loop_
_atom_site_label
_atom_site_type_symbol
_atom_site_fract_x
_atom_site_fract_y
_atom_site_fract_z
_atom_site_occupancy
Cs1 Cs 0.000 0.000 0.000 1
Zr1 Zr 0.500 0.500 0.000 1
In1 In 0.283 0.502 0.495 1
Cl1 Cl 0.014 0.729 0.599 1
Cl2 Cl 0.252 0.648 0.179 1
Cl3 Cl 0.262 0.333 0.797 1
Cl4 Cl 0.486 0.233 0.160 1

# Cs2IrCl, relaxed, DFT PBE
# **Uncorrected energy**: -0.1111 hartree per atom
# **Energy relative to the elements, uncorrected**: 79.6 meV per atom
data_Cs2IrCl
_chemical_formula_sum 'Cs8 Ir4 Cl4'
_cell_length_a 8.734
_cell_length_b 8.734
_cell_length_c 8.734
_cell_angle_alpha 90.00
_cell_angle_beta 90.00
_cell_angle_gamma 90.00
_symmetry_space_group_name_H-M 'F m -3 m'
_symmetry_Int_Tables_number 225
_symmetry_space_group_name_Hall '-F 4 2 3'
loop_
_atom_site_label
_atom_site_type_symbol
_atom_site_fract_x
_atom_site_fract_y
_atom_site_fract_z
_atom_site_occupancy
Cs1 Cs 0.250 0.250 0.250 1
Ir1 Ir 0.000 0.000 0.000 1
Cl1 Cl 0.000 0.000 0.500 1

# Cs3IrCl, relaxed, DFT PBE
# **Uncorrected energy**: -0.1022 hartree per atom
# **Energy relative to the elements, uncorrected**: -127.6 meV per atom
data_Cs3IrCl
_chemical_formula_sum 'Cs3 Ir1 Cl1'
_cell_length_a 6.191
_cell_length_b 6.191
_cell_length_c 6.191
_cell_angle_alpha 90.00
_cell_angle_beta 90.00
_cell_angle_gamma 90.00
_symmetry_space_group_name_H-M 'P m -3 m'
_symmetry_Int_Tables_number 221
_symmetry_space_group_name_Hall '-P 4 2 3'
loop_
_atom_site_label
_atom_site_type_symbol
_atom_site_fract_x
_atom_site_fract_y
_atom_site_fract_z
_atom_site_occupancy
Cs1 Cs 0.000 0.000 0.500 1
Ir1 Ir 0.000 0.000 0.000 1
Cl1 Cl 0.500 0.500 0.500 1

# CsIrCl5, relaxed, DFT PBE
# **Uncorrected energy**: -0.1302 hartree per atom
# **Energy relative to the elements, uncorrected**: -834.8 meV per atom
data_CsIrCl5
_chemical_formula_sum 'Cs4 Ir4 Cl20'
_cell_length_a 13.177
_cell_length_b 8.265
_cell_length_c 9.071
_cell_angle_alpha 90.00
_cell_angle_beta 111.17
_cell_angle_gamma 90.00
_symmetry_space_group_name_H-M 'C 1 2/c 1'
_symmetry_Int_Tables_number 15
loop_
_symmetry_equiv_pos_as_xyz
'x,y,z'
'-x,-y,-z'
'-x,y,-z+1/2'
'x,-y,z+1/2'
'x+1/2,y+1/2,z'
'-x+1/2,-y+1/2,-z'
'-x+1/2,y+1/2,-z+1/2'
'x+1/2,-y+1/2,z+1/2'
loop_
_atom_site_label
_atom_site_type_symbol
_atom_site_fract_x
_atom_site_fract_y
_atom_site_fract_z
_atom_site_occupancy
Cs1 Cs 0.000 0.008 0.250 1
Ir1 Ir 0.000 0.500 0.000 1
Cl1 Cl 0.000 0.409 0.750 1
Cl2 Cl 0.133 0.302 0.533 1
Cl3 Cl 0.136 0.306 0.107 1

# CsIr2Cl2, relaxed, DFT PBE
# **Uncorrected energy**: -0.1525 hartree per atom
# **Energy relative to the elements, uncorrected**: 303.9 meV per atom
data_CsIr2Cl2
_chemical_formula_sum 'Cs2 Ir4 Cl4'
_cell_length_a 9.139
_cell_length_b 9.139
_cell_length_c 3.246
_cell_angle_alpha 90.00
_cell_angle_beta 90.00
_cell_angle_gamma 90.00
_symmetry_space_group_name_H-M 'P 4/m b m'
_symmetry_Int_Tables_number 127
_symmetry_space_group_name_Hall '-P 4 2ab'
loop_
_atom_site_label
_atom_site_type_symbol
_atom_site_fract_x
_atom_site_fract_y
_atom_site_fract_z
_atom_site_occupancy
Cs1 Cs 0.000 0.000 0.000 1
Ir1 Ir 0.091 0.409 0.000 1
Cl1 Cl 0.224 0.276 0.500 1

# Cs2IrCl7, relaxed, DFT PBE
# **Uncorrected energy**: -0.1196 hartree per atom
# **Energy relative to the elements, uncorrected**: -904.5 meV per atom
data_Cs2IrCl7
_chemical_formula_sum 'Cs8 Ir4 Cl28'
_cell_length_a 17.346
_cell_length_b 7.286
_cell_length_c 13.522
_cell_angle_alpha 90.00
_cell_angle_beta 128.45
_cell_angle_gamma 90.00
_symmetry_space_group_name_H-M 'C 1 2/c 1'
_symmetry_Int_Tables_number 15
loop_
_symmetry_equiv_pos_as_xyz
'x,y,z'
'-x,-y,-z'
'-x,y,-z+1/2'
'x,-y,z+1/2'
'x+1/2,y+1/2,z'
'-x+1/2,-y+1/2,-z'
'-x+1/2,y+1/2,-z+1/2'
'x+1/2,-y+1/2,z+1/2'
loop_
_atom_site_label
_atom_site_type_symbol
_atom_site_fract_x
_atom_site_fract_y
_atom_site_fract_z
_atom_site_occupancy
Cs1 Cs 0.138 0.218 0.051 1
Ir1 Ir 0.000 0.260 0.250 1
Cl1 Cl 0.000 0.412 0.750 1
Cl2 Cl 0.072 0.267 0.468 1
Cl3 Cl 0.086 0.010 0.755 1
Cl4 Cl 0.161 0.357 0.321 1